# 1
## TbLuPa (PBE)

Data for a geometry-optimized TbLuPa structure.

Its formation energy is 1067 meV/atom. The calculation puts the total energy at -5.149 eV per atom. The total moment is 2.78 μB/f.u. As for the energy relative to the lowest polymorph listed for this composition: 0 meV per atom. The symmetry is No. 216. The crystal system is cubic.

Unit cell a=5.244 b=5.244 c=5.244 alpha=60.00 beta=60.00 gamma=60.00
Each line ends with the local moment (μB).
Positions (direct):
Lu (0.000, 0.000, 0.000)  0.50
Pa (0.250, 0.250, 0.250)  1.38
Tb (0.750, 0.750, 0.750)  0.35

# 2
## LuPaTc (PBE)

Data for a geometry-optimized LuPaTc structure.

Its formation energy is 882 meV/atom. The calculation puts the total energy at -7.245 eV per atom. The total moment is 0.01 μB/f.u. The symmetry is No. 216. The crystal system is cubic.

Unit cell a=4.627 b=4.627 c=4.627 alpha=60.00 beta=60.00 gamma=60.00
Positions (direct):
Lu (0.000, 0.000, 0.000)
Pa (0.250, 0.250, 0.250)
Tc (0.750, 0.750, 0.750)